Entry from the Alexandria database: a relaxed structure of Y4In3Hg (GGA-PBE).

a = 3.7600 Å, b = 3.7600 Å, c = 15.0113 Å
α = 90.00°, β = 90.00°, γ = 90.00°
Last column: nearest neighbours and their distance in Å.
Space group P4/mmm (No. 123)
One atom of each set of equivalent atoms:
Y 0.0000 0.0000 0.1214  4 Hg 3.22, 4 In 3.26
Y 0.0000 0.0000 0.3739  8 In 3.26-3.27
In 0.5000 0.5000 0.2474  8 Y 3.26-3.27
In 0.5000 0.5000 0.5000  8 Y 3.26
Hg 0.5000 0.5000 0.0000  8 Y 3.22

Summary:
M_tot	0.000	μB/cell
ΔE_f	-500.5	meV per atom

---

Entry from the Alexandria database: a relaxed structure of YIn2Hg (GGA-PBE).

a = 3.3547 Å, b = 4.9486 Å, c = 6.2165 Å
α = 90.00°, β = 90.05°, γ = 90.00°
Last column: nearest neighbours and their distance in Å.
Space group Pm (No. 6)
One atom of each set of equivalent atoms:
Y 0.0000 0.0000 0.0000  4 Hg 3.32-3.33, 8 In 3.33-3.58, 2 Y 3.35
In 0.4969 0.5000 0.7621  1 Hg 2.93, 2 In 2.98
In 0.5061 0.0000 0.4937  2 Hg 2.96, 2 In 2.98
Hg 0.4996 0.5000 0.2337  3 In 2.93-2.96

Summary:
M_tot	0.000	μB/cell
ΔE_f	-269.2	meV per atom

---

Entry from the Alexandria database: a relaxed structure of YInHg (GGA-PBE).

a = 4.8384 Å, b = 4.8384 Å, c = 7.4908 Å
α = 90.00°, β = 90.00°, γ = 120.00°
Last column: nearest neighbours and their distance in Å.
Space group P6_3mc (No. 186)
One atom of each set of equivalent atoms:
Y 0.0000 0.0000 0.0000  3 Hg 3.14, 6 In 3.24-3.49
In 0.3333 0.6667 0.2803  4 Hg 2.87-3.07
Hg 0.3333 0.6667 0.6903  4 In 2.87-3.07, 3 Y 3.14

Summary:
M_tot	0.000	μB/cell
ΔE_f	-481.5	meV per atom

---

Entry from the Alexandria database: a relaxed structure of Y2InHg (GGA-PBE).

a = 3.6676 Å, b = 4.7830 Å, c = 6.3694 Å
α = 90.00°, β = 90.00°, γ = 90.00°
Last column: nearest neighbours and their distance in Å.
Space group Pmm2 (No. 25)
One atom of each set of equivalent atoms:
Y 0.0000 0.0000 0.0000  2 Hg 3.15-3.22, 4 In 3.20
Y 0.5000 0.5000 0.3326  2 In 3.16-3.21, 4 Hg 3.21
In 0.5000 0.5000 0.8291  6 Y 3.16-3.21
Hg 0.0000 0.0000 0.5055  6 Y 3.15-3.22

Summary:
M_tot	0.004	μB/cell
ΔE_f	-301.6	meV per atom